Density functional theory data (GGA-PBE) for a relaxed TaCr2P crystal.

abc: 3.518 3.518 8.625
angles: 90.00 90.00 90.00
Element x y z (fractional)
Ta 0.000 0.000 0.000
Ta 0.500 0.500 0.500
Cr 0.000 0.500 0.250
Cr 0.000 0.500 0.750
Cr 0.500 0.000 0.250
Cr 0.500 0.000 0.750
P 0.000 0.000 0.500
P 0.500 0.500 0.000

## Properties
Size of the total moment (μB/atom): 0.000
Uncorrected energy (Ha/atom): -0.338
Formation enthalpy at 0 K (eV/atom): -0.072
Density (g cm⁻³): 9.8
Space group: No. 139